(1)
This record from Alexandria via LeMat-Bulk describes a geometry-optimized LaMg3Tc structure. The functional is PBE.

## Properties
polymorph energy (0 for the lowest one) = 1613 meV per atom
calculated formation energy = 1.925 eV/atom
magnetization = 0.553 μB per atom

Cell: 5.8188 5.8188 5.8188 Å, 90.00 90.00 90.00°
Each line ends with the local moment (μB).
Element x y z (fractional)
Mg 0.5000 0.0000 0.0000  -0.04
Mg 0.0000 0.0000 0.5000  0.00
Tc 0.5000 0.5000 0.5000  3.62
La 0.0000 0.0000 0.0000  -0.42
Mg 0.0000 0.5000 0.0000  -0.01

---

(2)
This record from Alexandria via LeMat-Bulk describes a geometry-optimized LiBe4Cu structure. The functional is PBE.

## Properties
calculated formation energy = -0.085 eV/atom
magnetization = 0.000 μB per atom

Cell: 4.2762 4.2762 4.2762 Å, 60.00 60.00 60.00°
Element x y z (fractional)
Be 0.6242 0.6242 0.1274
Be 0.6242 0.6242 0.6242
Li 0.0000 0.0000 0.0000
Be 0.1274 0.6242 0.6242
Cu 0.2500 0.2500 0.2500
Be 0.6242 0.1274 0.6242

---

(3)
This record from Alexandria via LeMat-Bulk describes a geometry-optimized SrTa2Mo structure. The functional is PBE.

## Properties
polymorph energy (0 for the lowest one) = 941 meV per atom
calculated formation energy = 1.447 eV/atom
magnetization = 0.000 μB per atom

Cell: 5.2358 5.2358 9.5494 Å, 74.09 74.09 90.00°
Element x y z (fractional)
Sr 0.5000 0.5000 0.0000
Ta 0.3750 0.1245 0.7500
Ta 0.8755 0.1250 0.2500
Ta 0.8750 0.1255 0.7500
Mo 0.7500 0.2500 0.5000
Sr 0.2500 0.7500 0.5000
Mo 0.0000 0.0000 0.0000
Ta 0.8745 0.6250 0.2500

---

(4)
This record from Alexandria via LeMat-Bulk describes a geometry-optimized Pr5Dy3As8 structure. The functional is PBE.

## Properties
calculated formation energy = -1.503 eV/atom
magnetization = 0.000 μB per atom

Cell: 8.4789 8.4789 8.4768 Å, 59.99 59.99 60.00°
Element x y z (fractional)
Dy 0.0000 0.0000 0.5000
Dy 0.0000 0.5000 0.5000
Pr 0.5000 0.5000 0.5000
As 0.2500 0.7577 0.7423
Dy 0.5000 0.0000 0.5000
As 0.7500 0.7500 0.2577
As 0.7538 0.7538 0.7387
As 0.2500 0.2500 0.7423
Pr 0.5000 0.5000 0.0000
Pr 0.0000 0.5000 0.0000
Pr 0.5000 0.0000 0.0000
As 0.7500 0.2423 0.2577
Pr 0.0000 0.0000 0.0000
As 0.2423 0.7500 0.2577
As 0.7577 0.2500 0.7423
As 0.2462 0.2462 0.2613